Below is a geometry-optimized PuThAlTc structure, with properties calculated at the PBE level.

extended XYZ file:
```
4
Lattice="0.000 3.457 3.457 3.457 0.000 3.457 3.457 3.457 0.000" Properties=species:S:1:pos:R:3 pbc="T T T"
Pu 0.000 0.000 0.000
Th 1.729 1.729 1.729
Al 5.186 5.186 5.186
Tc 3.457 3.457 3.457
```

Calculated formation energy (eV per atom): -0.064
Fermi-level density of states (states/eV per atom): 1.58